# CaOsBr4 | Alexandria | PBE-GGA | relaxed
# VASP energy	-14.7	eV for the cell shown
# ΔE_f (raw)	0.874	eV/atom
# space group	F-43m, No. 216
# size of the total moment	5.9	μB/f.u.
# Fermi-level density of states	10.82	states/eV/cell
data_CaOsBr4
_chemical_formula_sum 'Ca1 Os1 Br4'
_symmetry_space_group_name_H-M 'P 1'
_symmetry_Int_Tables_number 1
_cell_length_a 6.312
_cell_length_b 6.312
_cell_length_c 6.312
_cell_angle_alpha 60.00
_cell_angle_beta 60.00
_cell_angle_gamma 60.00
loop_
_symmetry_equiv_pos_as_xyz
'x,y,z'
loop_
_atom_site_label
_atom_site_type_symbol
_atom_site_fract_x
_atom_site_fract_y
_atom_site_fract_z
_atom_site_occupancy
Ca1 Ca 0.000 0.000 0.000 1
Os1 Os 0.750 0.750 0.750 1
Br1 Br 0.375 0.375 0.375 1
Br2 Br 0.375 0.375 0.874 1
Br3 Br 0.375 0.874 0.375 1
Br4 Br 0.874 0.375 0.375 1